Compound: Nb6Ni16Ge7
Source: Alexandria
Functional: GGA-PBE
Structure: optimized geometry

As for the energy: -785.3 eV/cell.

The space group is Fm-3m (No. 225) and the conventional cell measures 11.4716, 11.4716 and 11.4716 Å, with angles of 90.00, 90.00 and 90.00 degrees. The inequivalent atoms are Nb at (0.0000, 0.0000, 0.2021), Ni at (0.1172, 0.1172, 0.3828), Ni at (0.1672, 0.1672, 0.1672), Ge at (0.0000, 0.0000, 0.5000) and Ge at (0.0000, 0.2500, 0.2500).